The following is a DFT calculation (PBE-GGA) of Sc2Cd2Ir after structural relaxation.

**Raw total energy**: -0.384 Ry per atom
**DFT formation energy**: -552 meV/atom
**Volume**: 19.97 Å³/atom
**Space-group type**: No. 139
**DOS(E_F)**: 2.32 states/eV/f.u.

Cell lengths 3.1625, 3.1625, 10.2287 Å; angles 98.89, 98.89, 90.00 degrees
Atoms (fractional coordinates):
Sc  0.5839  0.5839  0.1679
Sc  0.4161  0.4161  0.8321
Cd  0.8036  0.8036  0.6071
Cd  0.1964  0.1964  0.3929
Ir  0.0000  0.0000  0.0000


The following is a DFT calculation (PBE-GGA) of ScCd3Ir after structural relaxation.

**Raw total energy**: -0.234 Ry per atom
**DFT formation energy**: 406 meV/atom
**Volume**: 26.74 Å³/atom
**Space-group type**: No. 221
**DOS(E_F)**: 6.11 states/eV/f.u.

Cell lengths 5.1132, 5.1132, 5.1132 Å; angles 90.00, 90.00, 90.00 degrees
Atoms (fractional coordinates):
Sc  0.5000  0.5000  0.5000
Ir  0.0000  0.0000  0.0000
Cd  0.0000  0.5000  0.0000
Cd  0.0000  0.0000  0.5000
Cd  0.5000  0.0000  0.0000


The following is a DFT calculation (PBE-GGA) of Sc2CdIr after structural relaxation.

**Raw total energy**: -0.428 Ry per atom
**DFT formation energy**: -214 meV/atom
**Volume**: 27.67 Å³/atom
**Space-group type**: No. 166
**DOS(E_F)**: 5.45 states/eV/f.u.

Cell lengths 9.3188, 9.3188, 9.3188 Å; angles 23.25, 23.25, 23.25 degrees
Atoms (fractional coordinates):
Sc  0.8851  0.8851  0.8851
Sc  0.1149  0.1149  0.1149
Ir  0.5000  0.5000  0.5000
Cd  0.0000  0.0000  0.0000


The following is a DFT calculation (PBE-GGA) of Sc2CdIr2 after structural relaxation.

**Raw total energy**: -0.490 Ry per atom
**DFT formation energy**: -402 meV/atom
**Volume**: 21.02 Å³/atom
**Space-group type**: No. 139
**DOS(E_F)**: 0.80 states/eV/f.u.

Cell lengths 4.3393, 4.3393, 6.3701 Å; angles 70.09, 70.09, 90.00 degrees
Atoms (fractional coordinates):
Sc  0.7500  0.2500  0.5000
Sc  0.2500  0.7500  0.5000
Ir  0.3873  0.3873  0.2254
Ir  0.6127  0.6127  0.7746
Cd  0.0000  0.0000  0.0000


The following is a DFT calculation (PBE-GGA) of Sc4CdIr after structural relaxation.

**Raw total energy**: -0.413 Ry per atom
**DFT formation energy**: 232 meV/atom
**Volume**: 20.29 Å³/atom
**Space-group type**: No. 216
**DOS(E_F)**: 7.58 states/eV/f.u.

Cell lengths 5.5631, 5.5631, 5.5631 Å; angles 60.00, 60.00, 60.00 degrees
Atoms (fractional coordinates):
Sc  0.8811  0.3730  0.3730
Sc  0.3730  0.3730  0.8811
Sc  0.3730  0.8811  0.3730
Sc  0.3730  0.3730  0.3730
Cd  0.7500  0.7500  0.7500
Ir  0.0000  0.0000  0.0000


The following is a DFT calculation (PBE-GGA) of Sc2CdIr after structural relaxation.

**Raw total energy**: -0.428 Ry per atom
**DFT formation energy**: -218 meV/atom
**Volume**: 21.58 Å³/atom
**Space-group type**: No. 122
**DOS(E_F)**: 4.27 states/eV/f.u.

Cell lengths 7.7126, 7.7126, 6.1780 Å; angles 51.38, 51.38, 90.00 degrees
Atoms (fractional coordinates):
Sc  0.6773  0.1250  0.2500
Sc  0.0727  0.6250  0.2500
Sc  0.3750  0.3227  0.7500
Sc  0.8750  0.9273  0.7500
Ir  0.0000  0.0000  0.0000
Ir  0.7500  0.2500  0.5000
Cd  0.5000  0.5000  0.0000
Cd  0.2500  0.7500  0.5000


The following is a DFT calculation (PBE-GGA) of Sc2CdIr after structural relaxation.

**Raw total energy**: -0.443 Ry per atom
**DFT formation energy**: -411 meV/atom
**Volume**: 22.99 Å³/atom
**Space-group type**: No. 166
**DOS(E_F)**: 1.38 states/eV/f.u.

Cell lengths 7.6629, 7.6629, 7.6629 Å; angles 28.73, 28.73, 28.73 degrees
Atoms (fractional coordinates):
Cd  0.2500  0.2500  0.2500
Ir  0.7500  0.7500  0.7500
Sc  0.0191  0.0191  0.0191
Sc  0.4809  0.4809  0.4809


The following is a DFT calculation (PBE-GGA) of Sc4Cd3Ir after structural relaxation.

**Raw total energy**: -0.374 Ry per atom
**DFT formation energy**: -478 meV/atom
**Volume**: 20.81 Å³/atom
**Space-group type**: No. 123
**DOS(E_F)**: 7.07 states/eV/f.u.

Cell lengths 3.3603, 3.3603, 14.7412 Å; angles 90.00, 90.00, 90.00 degrees
Atoms (fractional coordinates):
Sc  0.0000  0.0000  0.8977
Sc  0.0000  0.0000  0.1023
Sc  0.0000  0.0000  0.3683
Sc  0.0000  0.0000  0.6317
Ir  0.5000  0.5000  0.0000
Cd  0.5000  0.5000  0.2380
Cd  0.5000  0.5000  0.5000
Cd  0.5000  0.5000  0.7620